Entry 1:
# PBEsol KBaTl2, optimized geometry
# - DFT formation energy: -21.04 kJ per mole of atoms
# - D(E_F): 12.653 states/eV/cell
# - Electronic total energy: -2.354 eV per atom
# - Mass density: 6.85 Mg/m³
# - M_tot: 0.00 μB/cell
# - Offset from the most stable computed form: 0.013 eV per atom
data_KBaTl2
_chemical_formula_sum 'K4 Ba4 Tl8'
_symmetry_space_group_name_H-M 'F m -3 m'
_symmetry_Int_Tables_number 225
_symmetry_space_group_name_Hall '-F 4 2 3'
_cell_length_a 8.2779
_cell_length_b 8.2779
_cell_length_c 8.2779
_cell_angle_alpha 90.00
_cell_angle_beta 90.00
_cell_angle_gamma 90.00
loop_
_atom_site_label
_atom_site_fract_x
_atom_site_fract_y
_atom_site_fract_z
K1 0.0000 0.0000 0.0000
Ba1 0.0000 0.0000 0.5000
Tl1 0.2500 0.2500 0.2500

---

Entry 2:
# PBEsol ZrOF2, optimized geometry
# - D(E_F): 4.899 states/eV/cell
# - Electronic total energy: -5.482 eV per atom
# - Formation energy (no corrections): -933 meV per atom
# - Mass density: 3.11 Mg/m³
# - M_tot: 6.21 μB/cell
data_ZrOF2
_chemical_formula_sum 'Zr3 O3 F6'
_symmetry_space_group_name_H-M 'R -3 m'
_symmetry_Int_Tables_number 166
_symmetry_space_group_name_Hall '-R 3 2"'
_cell_length_a 3.1900
_cell_length_b 3.1900
_cell_length_c 26.3619
_cell_angle_alpha 90.00
_cell_angle_beta 90.00
_cell_angle_gamma 120.00
loop_
_atom_site_label
_atom_site_fract_x
_atom_site_fract_y
_atom_site_fract_z
Zr1 0.0000 0.0000 0.0000
O1 0.0000 0.0000 0.5000
F1 0.0000 0.0000 0.0726

---

Entry 3:
# PBEsol Re2OsSe, optimized geometry
# - D(E_F): 5.301 states/eV/cell
# - Electronic total energy: -10.256 eV per atom
# - Formation energy (no corrections): 427 meV per atom
# - Mass density: 18.09 Mg/m³
# - M_tot: 0.00 μB/cell
data_Re2OsSe
_chemical_formula_sum 'Re4 Os2 Se2'
_symmetry_space_group_name_H-M 'A m m 2'
_symmetry_Int_Tables_number 38
_cell_length_a 4.0234
_cell_length_b 2.8211
_cell_length_c 10.3749
_cell_angle_alpha 90.00
_cell_angle_beta 90.00
_cell_angle_gamma 90.00
loop_
_symmetry_equiv_pos_as_xyz
'x,y,z'
'-x,-y,z'
'-x,y,z'
'x,-y,z'
'x,y+1/2,z+1/2'
'-x,-y+1/2,z+1/2'
'-x,y+1/2,z+1/2'
'x,-y+1/2,z+1/2'
loop_
_atom_site_label
_atom_site_fract_x
_atom_site_fract_y
_atom_site_fract_z
Re1 0.0000 0.0000 0.0000
Re2 0.5000 0.0000 0.3677
Os1 0.0000 0.0000 0.7450
Se1 0.5000 0.0000 0.1364

---

Entry 4:
# PBEsol CaCr2Ru, optimized geometry
# - DFT formation energy: 61.30 kJ per mole of atoms
# - D(E_F): 3.424 states/eV/cell
# - Electronic total energy: -7.562 eV per atom
# - Mass density: 5.96 Mg/m³
# - M_tot: 5.82 μB/cell
data_CaCr2Ru
_chemical_formula_sum 'Ca1 Cr2 Ru1'
_symmetry_space_group_name_H-M 'P 4/m m m'
_symmetry_Int_Tables_number 123
_symmetry_space_group_name_Hall '-P 4 2'
_cell_length_a 2.9554
_cell_length_b 2.9554
_cell_length_c 7.8220
_cell_angle_alpha 90.00
_cell_angle_beta 90.00
_cell_angle_gamma 90.00
loop_
_atom_site_label
_atom_site_fract_x
_atom_site_fract_y
_atom_site_fract_z
Ca1 0.0000 0.0000 0.0000
Cr1 0.5000 0.5000 0.3104
Ru1 0.0000 0.0000 0.5000

---

Entry 5:
# PBEsol LiLaY2, optimized geometry
# - DFT formation energy: 18.60 kJ per mole of atoms
# - D(E_F): 6.064 states/eV/cell
# - Electronic total energy: -5.047 eV per atom
# - Mass density: 4.57 Mg/m³
# - M_tot: 0.00 μB/cell
# - Offset from the most stable computed form: 0.110 eV per atom
data_LiLaY2
_chemical_formula_sum 'Li1 La1 Y2'
_symmetry_space_group_name_H-M 'P 4/m m m'
_symmetry_Int_Tables_number 123
_symmetry_space_group_name_Hall '-P 4 2'
_cell_length_a 4.8036
_cell_length_b 4.8036
_cell_length_c 5.1009
_cell_angle_alpha 90.00
_cell_angle_beta 90.00
_cell_angle_gamma 90.00
loop_
_atom_site_label
_atom_site_fract_x
_atom_site_fract_y
_atom_site_fract_z
Li1 0.0000 0.0000 0.0000
La1 0.5000 0.5000 0.0000
Y1 0.0000 0.5000 0.5000

---

Entry 6:
# PBEsol LiMg2Au, optimized geometry
# - DFT formation energy: -45.93 kJ per mole of atoms
# - D(E_F): 2.647 states/eV/cell
# - Electronic total energy: -2.807 eV per atom
# - Mass density: 6.11 Mg/m³
# - M_tot: 0.00 μB/cell
data_LiMg2Au
_chemical_formula_sum 'Li2 Mg4 Au2'
_symmetry_space_group_name_H-M 'I 4/m m m'
_symmetry_Int_Tables_number 139
_symmetry_space_group_name_Hall '-I 4 2'
_cell_length_a 4.5892
_cell_length_b 4.5892
_cell_length_c 6.5173
_cell_angle_alpha 90.00
_cell_angle_beta 90.00
_cell_angle_gamma 90.00
loop_
_atom_site_label
_atom_site_fract_x
_atom_site_fract_y
_atom_site_fract_z
Li1 0.0000 0.0000 0.0000
Mg1 0.0000 0.5000 0.2500
Au1 0.0000 0.0000 0.5000

---

Entry 7:
# PBEsol ScTiS2N, optimized geometry
# - D(E_F): 1.625 states/eV/cell
# - Electronic total energy: -7.349 eV per atom
# - Formation energy (no corrections): -904 meV per atom
# - Mass density: 3.44 Mg/m³
# - M_tot: 0.00 μB/cell
data_ScTiS2N
_chemical_formula_sum 'Sc1 Ti1 S2 N1'
_symmetry_space_group_name_H-M 'P 4/m m m'
_symmetry_Int_Tables_number 123
_symmetry_space_group_name_Hall '-P 4 2'
_cell_length_a 4.7034
_cell_length_b 4.7034
_cell_length_c 3.7271
_cell_angle_alpha 90.00
_cell_angle_beta 90.00
_cell_angle_gamma 90.00
loop_
_atom_site_label
_atom_site_fract_x
_atom_site_fract_y
_atom_site_fract_z
Sc1 0.0000 0.0000 0.0000
Ti1 0.5000 0.5000 0.5000
S1 0.0000 0.5000 0.5000
N1 0.5000 0.5000 0.0000

---

Entry 8:
# PBEsol Li3HgCl, optimized geometry
# - D(E_F): 2.654 states/eV/cell
# - Electronic total energy: -2.386 eV per atom
# - Formation energy (no corrections): -691 meV per atom
# - Mass density: 4.42 Mg/m³
# - M_tot: 0.00 μB/cell
data_Li3HgCl
_chemical_formula_sum 'Li3 Hg1 Cl1'
_symmetry_space_group_name_H-M 'P m -3 m'
_symmetry_Int_Tables_number 221
_symmetry_space_group_name_Hall '-P 4 2 3'
_cell_length_a 4.5862
_cell_length_b 4.5862
_cell_length_c 4.5862
_cell_angle_alpha 90.00
_cell_angle_beta 90.00
_cell_angle_gamma 90.00
loop_
_atom_site_label
_atom_site_fract_x
_atom_site_fract_y
_atom_site_fract_z
Li1 0.0000 0.0000 0.5000
Hg1 0.5000 0.5000 0.5000
Cl1 0.0000 0.0000 0.0000

---

Entry 9:
# PBEsol CaIrPb2, optimized geometry
# - DFT formation energy: -2.60 kJ per mole of atoms
# - D(E_F): 2.805 states/eV/cell
# - Electronic total energy: -5.015 eV per atom
# - Mass density: 11.82 Mg/m³
# - M_tot: 0.00 μB/cell
data_CaIrPb2
_chemical_formula_sum 'Ca1 Ir1 Pb2'
_symmetry_space_group_name_H-M 'P 4/m m m'
_symmetry_Int_Tables_number 123
_symmetry_space_group_name_Hall '-P 4 2'
_cell_length_a 3.5010
_cell_length_b 3.5010
_cell_length_c 7.4143
_cell_angle_alpha 90.00
_cell_angle_beta 90.00
_cell_angle_gamma 90.00
loop_
_atom_site_label
_atom_site_fract_x
_atom_site_fract_y
_atom_site_fract_z
Ca1 0.0000 0.0000 0.0000
Ir1 0.0000 0.0000 0.5000
Pb1 0.5000 0.5000 0.2927

---

Entry 10:
# PBEsol LiOs2Se, optimized geometry
# - D(E_F): 5.582 states/eV/cell
# - Electronic total energy: -7.370 eV per atom
# - Formation energy (no corrections): 192 meV per atom
# - Mass density: 13.22 Mg/m³
# - M_tot: 0.00 μB/cell
data_LiOs2Se
_chemical_formula_sum 'Li2 Os4 Se2'
_symmetry_space_group_name_H-M 'A m m 2'
_symmetry_Int_Tables_number 38
_cell_length_a 3.6670
_cell_length_b 2.7948
_cell_length_c 11.4351
_cell_angle_alpha 90.00
_cell_angle_beta 90.00
_cell_angle_gamma 90.00
loop_
_symmetry_equiv_pos_as_xyz
'x,y,z'
'-x,-y,z'
'-x,y,z'
'x,-y,z'
'x,y+1/2,z+1/2'
'-x,-y+1/2,z+1/2'
'-x,y+1/2,z+1/2'
'x,-y+1/2,z+1/2'
loop_
_atom_site_label
_atom_site_fract_x
_atom_site_fract_y
_atom_site_fract_z
Li1 0.0000 0.0000 0.0000
Os1 0.0000 0.0000 0.7612
Os2 0.5000 0.0000 0.3599
Se1 0.5000 0.0000 0.5851

---

Entry 11:
# PBEsol InPF3, optimized geometry
# - D(E_F): 2.440 states/eV/cell
# - Electronic total energy: -4.049 eV per atom
# - Formation energy (no corrections): -1137 meV per atom
# - Mass density: 4.30 Mg/m³
# - M_tot: 2.86 μB/cell
data_InPF3
_chemical_formula_sum 'In1 P1 F3'
_symmetry_space_group_name_H-M 'P m -3 m'
_symmetry_Int_Tables_number 221
_symmetry_space_group_name_Hall '-P 4 2 3'
_cell_length_a 4.2772
_cell_length_b 4.2772
_cell_length_c 4.2772
_cell_angle_alpha 90.00
_cell_angle_beta 90.00
_cell_angle_gamma 90.00
loop_
_atom_site_label
_atom_site_fract_x
_atom_site_fract_y
_atom_site_fract_z
In1 0.0000 0.0000 0.0000
P1 0.5000 0.5000 0.5000
F1 0.0000 0.0000 0.5000

---

Entry 12:
# PBEsol KMo2Au, optimized geometry
# - DFT formation energy: 77.08 kJ per mole of atoms
# - D(E_F): 5.411 states/eV/cell
# - Electronic total energy: -6.349 eV per atom
# - Mass density: 9.15 Mg/m³
# - M_tot: 0.00 μB/cell
# - Offset from the most stable computed form: 0.133 eV per atom
data_KMo2Au
_chemical_formula_sum 'K2 Mo4 Au2'
_symmetry_space_group_name_H-M 'I m m m'
_symmetry_Int_Tables_number 71
_symmetry_space_group_name_Hall '-I 2 2'
_cell_length_a 2.6075
_cell_length_b 5.0917
_cell_length_c 11.7020
_cell_angle_alpha 90.00
_cell_angle_beta 90.00
_cell_angle_gamma 90.00
loop_
_atom_site_label
_atom_site_fract_x
_atom_site_fract_y
_atom_site_fract_z
K1 0.0000 0.0000 0.0000
Mo1 0.0000 0.5000 0.2138
Au1 0.0000 0.0000 0.5000

---

Entry 13:
# PBEsol MgTaCr, optimized geometry
# - DFT formation energy: 110.19 kJ per mole of atoms
# - D(E_F): 13.283 states/eV/cell
# - Electronic total energy: -7.028 eV per atom
# - Mass density: 7.70 Mg/m³
# - M_tot: 4.38 μB/cell
# - Offset from the most stable computed form: 0.751 eV per atom
data_MgTaCr
_chemical_formula_sum 'Mg4 Ta4 Cr4'
_symmetry_space_group_name_H-M 'F -4 3 m'
_symmetry_Int_Tables_number 216
_symmetry_space_group_name_Hall 'F -4 2 3'
_cell_length_a 6.0542
_cell_length_b 6.0542
_cell_length_c 6.0542
_cell_angle_alpha 90.00
_cell_angle_beta 90.00
_cell_angle_gamma 90.00
loop_
_atom_site_label
_atom_site_fract_x
_atom_site_fract_y
_atom_site_fract_z
Mg1 0.0000 0.0000 0.0000
Ta1 0.0000 0.0000 0.5000
Cr1 0.2500 0.2500 0.7500

---

Entry 14:
# PBEsol TiCuI2N, optimized geometry
# - D(E_F): 4.111 states/eV/cell
# - Electronic total energy: -4.242 eV per atom
# - Formation energy (no corrections): 701 meV per atom
# - Mass density: 5.93 Mg/m³
# - M_tot: 3.94 μB/cell
data_TiCuI2N
_chemical_formula_sum 'Ti1 Cu1 I2 N1'
_symmetry_space_group_name_H-M 'P 4/m m m'
_symmetry_Int_Tables_number 123
_symmetry_space_group_name_Hall '-P 4 2'
_cell_length_a 5.4480
_cell_length_b 5.4480
_cell_length_c 3.5799
_cell_angle_alpha 90.00
_cell_angle_beta 90.00
_cell_angle_gamma 90.00
loop_
_atom_site_label
_atom_site_fract_x
_atom_site_fract_y
_atom_site_fract_z
Ti1 0.0000 0.0000 0.0000
Cu1 0.5000 0.5000 0.5000
I1 0.0000 0.5000 0.5000
N1 0.5000 0.5000 0.0000

---

Entry 15:
# PBEsol BaRuPtSe2, optimized geometry
# - D(E_F): 4.970 states/eV/cell
# - Electronic total energy: -5.122 eV per atom
# - Formation energy (no corrections): 275 meV per atom
# - Mass density: 7.38 Mg/m³
# - M_tot: 0.00 μB/cell
data_BaRuPtSe2
_chemical_formula_sum 'Ba1 Ru1 Pt1 Se2'
_symmetry_space_group_name_H-M 'P 4/m m m'
_symmetry_Int_Tables_number 123
_symmetry_space_group_name_Hall '-P 4 2'
_cell_length_a 4.6237
_cell_length_b 4.6237
_cell_length_c 6.2239
_cell_angle_alpha 90.00
_cell_angle_beta 90.00
_cell_angle_gamma 90.00
loop_
_atom_site_label
_atom_site_fract_x
_atom_site_fract_y
_atom_site_fract_z
Ba1 0.0000 0.0000 0.0000
Ru1 0.0000 0.0000 0.5000
Pt1 0.5000 0.5000 0.0000
Se1 0.0000 0.5000 0.5000

---

Entry 16:
# PBEsol TeAs3C, optimized geometry
# - D(E_F): 7.400 states/eV/cell
# - Electronic total energy: -3.194 eV per atom
# - Formation energy (no corrections): 2503 meV per atom
# - Mass density: 4.21 Mg/m³
# - M_tot: 0.63 μB/cell
data_TeAs3C
_chemical_formula_sum 'Te1 As3 C1'
_symmetry_space_group_name_H-M 'P m -3 m'
_symmetry_Int_Tables_number 221
_symmetry_space_group_name_Hall '-P 4 2 3'
_cell_length_a 5.2381
_cell_length_b 5.2381
_cell_length_c 5.2381
_cell_angle_alpha 90.00
_cell_angle_beta 90.00
_cell_angle_gamma 90.00
loop_
_atom_site_label
_atom_site_fract_x
_atom_site_fract_y
_atom_site_fract_z
Te1 0.0000 0.0000 0.0000
As1 0.0000 0.0000 0.5000
C1 0.5000 0.5000 0.5000

---

Entry 17:
# PBEsol La5Cd3, optimized geometry
# - DFT formation energy: -18.39 kJ per mole of atoms
# - D(E_F): 22.507 states/eV/cell
# - Electronic total energy: -3.981 eV per atom
# - Mass density: 7.22 Mg/m³
# - M_tot: 0.00 μB/cell
# - Offset from the most stable computed form: 0.010 eV per atom
data_La5Cd3
_chemical_formula_sum 'La10 Cd6'
_symmetry_space_group_name_H-M 'C m m m'
_symmetry_Int_Tables_number 65
_symmetry_space_group_name_Hall '-C 2 2'
_cell_length_a 7.8127
_cell_length_b 10.9376
_cell_length_c 5.5577
_cell_angle_alpha 90.00
_cell_angle_beta 90.00
_cell_angle_gamma 90.00
loop_
_atom_site_label
_atom_site_fract_x
_atom_site_fract_y
_atom_site_fract_z
La1 0.0000 0.0000 0.0000
La2 0.2187 0.5000 0.5000
La3 0.2500 0.2500 0.0000
Cd1 0.0000 0.2308 0.5000
Cd2 0.0000 0.5000 0.0000

---

Entry 18:
# PBEsol Nb2Ir2Pb, optimized geometry
# - DFT formation energy: -7.69 kJ per mole of atoms
# - D(E_F): 4.775 states/eV/cell
# - Electronic total energy: -9.137 eV per atom
# - Mass density: 12.86 Mg/m³
# - M_tot: 0.00 μB/cell
data_Nb2Ir2Pb
_chemical_formula_sum 'Nb4 Ir4 Pb2'
_symmetry_space_group_name_H-M 'I 4/m m m'
_symmetry_Int_Tables_number 139
_symmetry_space_group_name_Hall '-I 4 2'
_cell_length_a 4.3925
_cell_length_b 4.3925
_cell_length_c 10.4049
_cell_angle_alpha 90.00
_cell_angle_beta 90.00
_cell_angle_gamma 90.00
loop_
_atom_site_label
_atom_site_fract_x
_atom_site_fract_y
_atom_site_fract_z
Nb1 0.0000 0.5000 0.2500
Ir1 0.0000 0.0000 0.1233
Pb1 0.0000 0.0000 0.5000

---

Entry 19:
# PBEsol CrFe2H, optimized geometry
# - D(E_F): 15.519 states/eV/cell
# - Electronic total energy: -7.344 eV per atom
# - Mass density: 7.62 Mg/m³
# - M_tot: 2.58 μB/cell
data_CrFe2H
_chemical_formula_sum 'Cr4 Fe8 H4'
_symmetry_space_group_name_H-M 'F m -3 m'
_symmetry_Int_Tables_number 225
_symmetry_space_group_name_Hall '-F 4 2 3'
_cell_length_a 5.2372
_cell_length_b 5.2372
_cell_length_c 5.2372
_cell_angle_alpha 90.00
_cell_angle_beta 90.00
_cell_angle_gamma 90.00
loop_
_atom_site_label
_atom_site_fract_x
_atom_site_fract_y
_atom_site_fract_z
Cr1 0.0000 0.0000 0.0000
Fe1 0.2500 0.2500 0.2500
H1 0.0000 0.0000 0.5000

---

Entry 20:
# PBEsol MnCr2Ag, optimized geometry
# - DFT formation energy: 56.72 kJ per mole of atoms
# - D(E_F): 8.200 states/eV/cell
# - Electronic total energy: -7.801 eV per atom
# - Mass density: 8.84 Mg/m³
# - M_tot: 1.38 μB/cell
data_MnCr2Ag
_chemical_formula_sum 'Mn2 Cr4 Ag2'
_symmetry_space_group_name_H-M 'C m m m'
_symmetry_Int_Tables_number 65
_symmetry_space_group_name_Hall '-C 2 2'
_cell_length_a 5.1357
_cell_length_b 7.6109
_cell_length_c 2.5631
_cell_angle_alpha 90.00
_cell_angle_beta 90.00
_cell_angle_gamma 90.00
loop_
_atom_site_label
_atom_site_fract_x
_atom_site_fract_y
_atom_site_fract_z
Mn1 0.0000 0.0000 0.0000
Cr1 0.2500 0.2500 0.5000
Ag1 0.0000 0.5000 0.0000